--- i ---
Entry from Alexandria: LaRe2Ir after structural relaxation (PBE-GGA).

abc: 4.7244 4.7244 6.1409
angles: 80.20 80.20 36.25
Fractional coordinates of all 4 atoms:
Re: 0.0167 0.0167 0.9010
Re: 0.7521 0.7521 0.7758
La: 0.2473 0.2473 0.2636
Ir: 0.4839 0.4839 0.5595

The space group is No. 8. The calculation puts the magnetization at 0.00 μB per formula unit.

=====

--- ii ---
Entry from Alexandria: LaRe2Ir after structural relaxation (PBE-GGA).

abc: 5.6851 5.6851 5.6851
angles: 148.86 127.32 62.47
Fractional coordinates of all 4 atoms:
Re: 0.7588 0.2588 0.5000
Re: 0.9649 0.9649 0.0000
Ir: 0.5286 0.5286 0.0000
La: 0.2477 0.7477 0.5000

The space group is No. 44. The calculation puts the magnetization at 0.00 μB per formula unit.

=====

--- iii ---
Entry from Alexandria: LaRe2Ir after structural relaxation (PBE-GGA).

abc: 2.9574 4.8006 5.1408
angles: 90.00 90.00 90.00
Fractional coordinates of all 4 atoms:
La: 0.0000 0.5000 0.5000
Ir: 0.5000 0.0000 0.5000
Re: 0.0000 0.0000 0.0000
Re: 0.5000 0.5000 0.0000

The space group is No. 47. The calculation puts the magnetization at 0.00 μB per formula unit.

=====

Here is how they stack up, most stable first: i, ii, iii.

=====

--- i ---
Entry from Alexandria: LaRe2Ir after structural relaxation (PBE-GGA).

abc: 4.6819 4.6819 4.6819
angles: 60.00 60.00 60.00
Site moments in Bohr magnetons follow the coordinates.
Fractional coordinates of all 4 atoms:
Re: 0.0000 0.0000 0.0000  -0.03
Re: 0.7500 0.7500 0.7500  0.32
La: 0.2500 0.2500 0.2500  0.00
Ir: 0.5000 0.5000 0.5000  0.22

The space group is No. 216. The calculation puts the magnetization at 0.53 μB per formula unit.

=====

--- ii ---
Entry from Alexandria: LaRe2Ir after structural relaxation (PBE-GGA).

abc: 7.9337 7.9337 6.2010
angles: 50.23 50.23 90.00
Fractional coordinates of all 8 atoms:
Re: 0.3750 0.3167 0.7500
Re: 0.6833 0.1250 0.2500
Re: 0.8750 0.9333 0.7500
Re: 0.0667 0.6250 0.2500
Ir: 0.7500 0.2500 0.5000
Ir: 0.0000 0.0000 0.0000
La: 0.2500 0.7500 0.5000
La: 0.5000 0.5000 0.0000

The space group is No. 122. The calculation puts the magnetization at 0.00 μB per formula unit.

=====

Here is how they stack up, most stable first: i, ii.

=====

--- i ---
Entry from Alexandria: LaRe2Ir after structural relaxation (PBE-GGA).

abc: 4.6438 4.6438 4.6438
angles: 60.00 60.00 60.00
Fractional coordinates of all 4 atoms:
Ir: 0.5000 0.5000 0.5000
Re: 0.2500 0.2500 0.2500
Re: 0.7500 0.7500 0.7500
La: 0.0000 0.0000 0.0000

The space group is No. 225. The calculation puts the magnetization at 0.00 μB per formula unit.

=====

--- ii ---
Entry from Alexandria: LaRe2Ir after structural relaxation (PBE-GGA).

abc: 5.3051 5.3051 5.3051
angles: 135.12 135.12 65.34
Fractional coordinates of all 4 atoms:
Ir: 0.2500 0.7500 0.5000
Re: 0.0000 0.0000 0.0000
Re: 0.5000 0.5000 0.0000
La: 0.7500 0.2500 0.5000

The space group is No. 139. The calculation puts the magnetization at 0.00 μB per formula unit.

=====

Here is how they stack up, most stable first: ii, i.

=====

--- i ---
Entry from Alexandria: LaIr2Rh after structural relaxation (PBE-GGA).

abc: 4.9208 4.9208 5.3891
angles: 79.82 79.82 35.45
Fractional coordinates of all 4 atoms:
Rh: 0.2600 0.2600 0.2150
Ir: 0.7390 0.7390 0.8292
Ir: 0.0031 0.0031 0.9666
La: 0.4978 0.4978 0.4891

The space group is No. 8. The calculation puts the magnetization at 0.00 μB per formula unit.

=====

--- ii ---
Entry from Alexandria: LaIr2Rh after structural relaxation (PBE-GGA).

abc: 4.9807 4.9807 3.0202
angles: 90.00 90.00 108.72
Fractional coordinates of all 4 atoms:
Rh: 0.5000 0.5000 0.5000
La: 0.0000 0.0000 0.5000
Ir: 0.5000 0.0000 0.0000
Ir: 0.0000 0.5000 0.0000

The space group is No. 65. The calculation puts the magnetization at 0.02 μB per formula unit.

=====

--- iii ---
Entry from Alexandria: LaIr2Rh after structural relaxation (PBE-GGA).

abc: 5.7118 5.7118 2.9461
angles: 76.36 76.36 122.10
Fractional coordinates of all 4 atoms:
Ir: 0.0000 0.5000 0.0000
Ir: 0.5000 0.0000 0.0000
La: 0.0000 0.0000 0.5000
Rh: 0.5000 0.5000 0.5000

The space group is No. 12. The calculation puts the magnetization at 0.00 μB per formula unit.

=====

--- iv ---
Entry from Alexandria: LaIr2Rh after structural relaxation (PBE-GGA).

abc: 9.8814 9.8814 9.8814
angles: 16.69 16.69 16.69
Site moments in Bohr magnetons follow the coordinates.
Fractional coordinates of all 4 atoms:
Ir: 0.2600 0.2600 0.2600  0.00
Ir: 0.7400 0.7400 0.7400  0.00
Rh: 0.0000 0.0000 0.0000  0.00
La: 0.5000 0.5000 0.5000  0.20

The space group is No. 166. The calculation puts the magnetization at 0.24 μB per formula unit.

=====

Here is how they stack up, most stable first: i, ii, iii, iv.

=====

--- i ---
Entry from Alexandria: LaIr2Rh after structural relaxation (PBE-GGA).

abc: 5.1291 5.1291 5.1291
angles: 132.51 132.51 69.42
Fractional coordinates of all 4 atoms:
Ir: 0.7500 0.2500 0.5000
Ir: 0.2500 0.7500 0.5000
Rh: 0.5000 0.5000 0.0000
La: 0.0000 0.0000 0.0000

The space group is No. 139. The calculation puts the magnetization at 0.00 μB per formula unit.

=====

--- ii ---
Entry from Alexandria: LaIr2Rh after structural relaxation (PBE-GGA).

abc: 2.8934 3.9191 6.4355
angles: 90.00 90.00 90.00
Fractional coordinates of all 4 atoms:
Ir: 0.0000 0.0000 0.0188
Ir: 0.5000 0.5000 0.1908
La: 0.0000 0.0000 0.5046
Rh: 0.5000 0.5000 0.7859

The space group is No. 25. The calculation puts the magnetization at 0.00 μB per formula unit.

=====

Here is how they stack up, most stable first: ii, i.

=====

--- i ---
Entry from Alexandria: LaIr2Rh after structural relaxation (PBE-GGA).

abc: 4.1014 4.1014 4.2492
angles: 90.00 90.00 90.00
Fractional coordinates of all 4 atoms:
La: 0.5000 0.5000 0.5000
Rh: 0.0000 0.0000 0.5000
Ir: 0.0000 0.5000 0.0000
Ir: 0.5000 0.0000 0.0000

The space group is No. 123. The calculation puts the magnetization at 0.00 μB per formula unit.

=====

--- ii ---
Entry from Alexandria: LaIr2Rh after structural relaxation (PBE-GGA).

abc: 4.7101 4.7101 4.7101
angles: 60.00 60.00 60.00
Site moments in Bohr magnetons follow the coordinates.
Fractional coordinates of all 4 atoms:
Rh: 0.0000 0.0000 0.0000  0.71
Ir: 0.7500 0.7500 0.7500  0.52
Ir: 0.2500 0.2500 0.2500  0.52
La: 0.5000 0.5000 0.5000  0.01

The space group is No. 225. The calculation puts the magnetization at 1.75 μB per formula unit.

=====

--- iii ---
Entry from Alexandria: LaIr2Rh after structural relaxation (PBE-GGA).

abc: 9.8410 9.8410 9.8410
angles: 16.80 16.80 16.80
Site moments in Bohr magnetons follow the coordinates.
Fractional coordinates of all 4 atoms:
Rh: 0.2596 0.2596 0.2596  0.00
Ir: 0.0000 0.0000 0.0000  0.00
Ir: 0.7398 0.7398 0.7398  0.00
La: 0.5007 0.5007 0.5007  -0.20

The space group is No. 160. The calculation puts the magnetization at 0.24 μB per formula unit.

=====

Here is how they stack up, most stable first: i, ii, iii.